No. 1
DFT (GGA-PBE) results for a geometry-optimized BeRe2Hg structure.

Results
Size of the total moment ... 0.00 μB per cell
Raw total energy ... -26.555 eV per cell
DOS at the Fermi energy ... 0.6837 states/eV/atom
ΔE to the lowest computed polymorph ... 345 meV per atom

Unit cell a=4.5446 b=4.5446 c=5.2188 alpha=83.88 beta=83.88 gamma=36.33
With the nearest neighbours (Å) after each atom.
Atoms (fractional coordinates):
1 Hg 0.2590 0.2590 0.2690  1 Be 2.58, 2 Hg 2.83, 2 Re 2.87
2 Re 0.0040 0.0040 0.9322  2 Be 2.46, 3 Re 2.48-2.65
3 Re 0.7510 0.7510 0.7486  3 Re 2.48-2.65, 3 Be 2.59-2.62
4 Be 0.4860 0.4860 0.5503  5 Re 2.46-2.62, 1 Hg 2.58


No. 2
DFT (GGA-PBE) results for a geometry-optimized HoCu5Ag structure.

Results
Size of the total moment ... 0.00 μB per cell
Raw total energy ... -116.276 eV per cell
DOS at the Fermi energy ... 0.4346 states/eV/atom

Unit cell a=5.0306 b=8.1391 c=10.3503 alpha=90.00 beta=90.00 gamma=90.00
With the nearest neighbours (Å) after each atom.
Atoms (fractional coordinates):
1 Ho 0.2500 0.7446 0.5654  12 Cu 2.90-3.20, 2 Ag 3.19-3.21
2 Cu 0.5027 0.4321 0.1865  7 Cu 2.45-2.54
3 Cu 0.7500 0.5549 0.6042  4 Cu 2.50-2.57, 1 Ag 2.60
4 Cu 0.2500 0.6855 0.2460  7 Cu 2.48-2.57
5 Ho 0.7500 0.7554 0.0654  12 Cu 2.90-3.20, 2 Ag 3.19-3.21
6 Cu 0.2500 0.4451 0.3958  4 Cu 2.50-2.57, 1 Ag 2.60
7 Cu 0.9973 0.9321 0.3135  7 Cu 2.45-2.54
8 Cu 0.2500 0.9451 0.1042  4 Cu 2.50-2.57, 1 Ag 2.60
9 Cu 0.2500 0.1855 0.2540  7 Cu 2.48-2.57
10 Cu 0.7500 0.4108 0.9828  5 Cu 2.45-2.51
11 Cu 0.2500 0.0892 0.4828  5 Cu 2.45-2.51
12 Cu 0.4973 0.0679 0.6865  7 Cu 2.45-2.54
13 Cu 0.5027 0.9321 0.3135  7 Cu 2.45-2.54
14 Ag 0.2500 0.3637 0.6385  8 Cu 2.60-2.81
15 Ho 0.7500 0.2554 0.4346  12 Cu 2.90-3.20, 2 Ag 3.19-3.21
16 Cu 0.0027 0.5679 0.8135  7 Cu 2.45-2.54
17 Ag 0.7500 0.1363 0.1385  8 Cu 2.60-2.81
18 Ag 0.7500 0.6363 0.3615  8 Cu 2.60-2.81
19 Cu 0.7500 0.3145 0.7540  7 Cu 2.48-2.57
20 Cu 0.7500 0.8145 0.7460  7 Cu 2.48-2.57
21 Ho 0.2500 0.2446 0.9346  12 Cu 2.90-3.20, 2 Ag 3.19-3.21
22 Cu 0.0027 0.0679 0.6865  7 Cu 2.45-2.54
23 Cu 0.9973 0.4321 0.1865  7 Cu 2.45-2.54
24 Cu 0.2500 0.5892 0.0172  5 Cu 2.45-2.51
25 Ag 0.2500 0.8637 0.8615  8 Cu 2.60-2.81
26 Cu 0.7500 0.9108 0.5172  5 Cu 2.45-2.51
27 Cu 0.7500 0.0549 0.8958  4 Cu 2.50-2.57, 1 Ag 2.60
28 Cu 0.4973 0.5679 0.8135  7 Cu 2.45-2.54


No. 3
DFT (GGA-PBE) results for a geometry-optimized Er3TlSb2 structure.

Results
Size of the total moment ... 0.00 μB per cell
Raw total energy ... -57.207 eV per cell
Uncorrected formation energy ... -4.30 eV/f.u.
DOS at the Fermi energy ... 0.5972 states/eV/atom

Unit cell a=6.1490 b=8.4732 c=7.7196 alpha=105.90 beta=113.47 gamma=90.00
With the nearest neighbours (Å) after each atom.
Atoms (fractional coordinates):
1 Tl 0.9991 0.7500 0.0000  6 Er 3.07-3.19
2 Er 0.4991 0.7500 0.0000  4 Sb 3.06-3.07, 2 Tl 3.07
3 Sb 0.3361 0.9181 0.6723  6 Er 3.03-3.08
4 Sb 0.3362 0.4181 0.6723  6 Er 3.03-3.08
5 Er 0.8241 0.4120 0.6482  4 Sb 3.03-3.08, 2 Tl 3.18-3.19
6 Er 0.1759 0.5880 0.3518  4 Sb 3.03-3.08, 2 Tl 3.18-3.19
7 Tl 0.0009 0.2500 0.0000  6 Er 3.07-3.19
8 Er 0.1759 0.0880 0.3518  4 Sb 3.03-3.08, 2 Tl 3.18-3.19
9 Sb 0.6638 0.5819 0.3277  6 Er 3.03-3.08
10 Sb 0.6639 0.0819 0.3277  6 Er 3.03-3.08
11 Er 0.5009 0.2500 0.0000  4 Sb 3.06-3.07, 2 Tl 3.07
12 Er 0.8241 0.9120 0.6482  4 Sb 3.03-3.08, 2 Tl 3.18-3.19


No. 4
DFT (GGA-PBE) results for a geometry-optimized Na2Ho2PtO6 structure.

Results
Size of the total moment ... 0.00 μB per cell
Raw total energy ... -71.476 eV per cell
Uncorrected formation energy ... -23.89 eV/f.u.
DOS at the Fermi energy ... 0.0000 states/eV/atom

Unit cell a=5.7357 b=5.7357 c=5.8812 alpha=97.24 beta=97.24 gamma=120.31
With the nearest neighbours (Å) after each atom.
Atoms (fractional coordinates):
1 Pt 0.0000 0.0000 0.5000  6 O 2.08-2.11
2 O 0.6402 0.9583 0.3063  1 Pt 2.11, 2 Ho 2.26-2.28
3 Na 0.8543 0.1457 0.0000  4 O 2.37-2.44
4 O 0.2507 0.2507 0.2967  1 Pt 2.08, 2 Ho 2.28
5 Ho 0.3371 0.6629 0.5000  6 O 2.26-2.28
6 Ho 0.6629 0.3371 0.5000  6 O 2.26-2.28
7 Na 0.1457 0.8543 0.0000  4 O 2.37-2.44
8 O 0.3598 0.0417 0.6937  1 Pt 2.11, 2 Ho 2.26-2.28
9 O 0.0417 0.3598 0.6937  1 Pt 2.11, 2 Ho 2.26-2.28
10 O 0.7493 0.7493 0.7033  1 Pt 2.08, 2 Ho 2.28
11 O 0.9583 0.6402 0.3063  1 Pt 2.11, 2 Ho 2.26-2.28


No. 5
DFT (GGA-PBE) results for a geometry-optimized Ag3MoP structure.

Results
Size of the total moment ... 4.40 μB per cell
Raw total energy ... -19.986 eV per cell
DOS at the Fermi energy ... 0.6036 states/eV/atom
ΔE to the lowest computed polymorph ... 0 meV per atom

Unit cell a=4.7211 b=4.7211 c=4.7211 alpha=90.00 beta=90.00 gamma=90.00
With the nearest neighbours (Å) after each atom.
Atoms (fractional coordinates):
1 P 0.0000 0.0000 0.0000  6 Ag 2.36
2 Ag 0.5000 0.0000 0.0000  2 P 2.36
3 Mo 0.5000 0.5000 0.5000  12 Ag 3.34
4 Ag 0.0000 0.0000 0.5000  2 P 2.36
5 Ag 0.0000 0.5000 0.0000  2 P 2.36


No. 6
DFT (GGA-PBE) results for a geometry-optimized InTc2Sb structure.

Results
Size of the total moment ... 0.00 μB per cell
Raw total energy ... -27.213 eV per cell
Uncorrected formation energy ... 0.38 eV/f.u.
DOS at the Fermi energy ... 0.5516 states/eV/atom
ΔE to the lowest computed polymorph ... 0 meV per atom

Unit cell a=3.0391 b=3.0391 c=8.4658 alpha=90.00 beta=90.00 gamma=90.00
With the nearest neighbours (Å) after each atom.
Atoms (fractional coordinates):
1 In 0.0000 0.0000 0.4459  4 Tc 2.91, 4 In 3.04
2 Tc 0.5000 0.5000 0.2141  4 Tc 2.64, 4 In 2.91
3 Tc 0.0000 0.0000 0.0337  4 Tc 2.64, 4 Sb 2.88
4 Sb 0.5000 0.5000 0.8063  4 Tc 2.88, 4 Sb 3.04


No. 7
DFT (GGA-PBE) results for a geometry-optimized Ni7Pd2Pt3 structure.

Results
Size of the total moment ... 6.40 μB per cell
Raw total energy ... -67.309 eV per cell
DOS at the Fermi energy ... 1.6952 states/eV/atom
ΔE to the lowest computed polymorph ... 29 meV per atom

Unit cell a=3.7009 b=3.9111 c=11.7524 alpha=99.58 beta=90.00 gamma=90.00
With the nearest neighbours (Å) after each atom.
Atoms (fractional coordinates):
1 Ni 0.5000 0.0747 0.1493  6 Ni 2.53-2.69, 4 Pt 2.61-2.67, 2 Pd 2.64
2 Ni 0.5000 0.9253 0.8507  6 Ni 2.53-2.69, 4 Pt 2.61-2.67, 2 Pd 2.64
3 Pt 0.5000 0.6532 0.3063  6 Ni 2.51-2.67, 4 Pd 2.69
4 Ni 0.0000 0.0000 0.0000  8 Ni 2.53-2.62, 4 Pt 2.69
5 Ni 0.0000 0.4245 0.8491  4 Pt 2.55-2.58, 6 Ni 2.62-2.69, 2 Pd 2.70
6 Pt 0.5000 0.5000 0.0000  12 Ni 2.55-2.69
7 Pd 0.0000 0.1558 0.3116  7 Ni 2.55-2.73, 4 Pt 2.69
8 Pd 0.0000 0.8442 0.6884  7 Ni 2.55-2.73, 4 Pt 2.69
9 Ni 0.0000 0.2735 0.5469  2 Ni 2.24
10 Ni 0.0000 0.5755 0.1509  4 Pt 2.55-2.58, 6 Ni 2.62-2.69, 2 Pd 2.70
11 Pt 0.5000 0.3468 0.6937  6 Ni 2.51-2.67, 4 Pd 2.69
12 Ni 0.0000 0.7265 0.4531  2 Ni 2.24


No. 8
DFT (GGA-PBE) results for a geometry-optimized Cs2LaB2O6 structure.

Results
Size of the total moment ... 1.02 μB per cell
Raw total energy ... -76.302 eV per cell
Uncorrected formation energy ... -26.56 eV/f.u.
DOS at the Fermi energy ... 0.4244 states/eV/atom

Unit cell a=5.8070 b=5.8069 c=7.7861 alpha=111.89 beta=90.00 gamma=120.00
With the nearest neighbours (Å) after each atom.
Atoms (fractional coordinates):
1 B 0.9004 0.8008 0.7011  3 O 1.38
2 O 0.2370 0.4739 0.2982  1 B 1.38
3 Cs 0.7116 0.4232 0.1348  6 O 3.14
4 O 0.8241 0.0611 0.2981  1 B 1.38
5 Cs 0.2884 0.5768 0.8652  6 O 3.14
6 La 0.5000 0.0000 0.5000  6 O 2.43
7 O 0.7631 0.9389 0.7019  1 B 1.38
8 O 0.1759 0.9389 0.7019  1 B 1.38
9 O 0.2369 0.0611 0.2981  1 B 1.38
10 B 0.0996 0.1992 0.2989  3 O 1.38
11 O 0.7630 0.5261 0.7018  1 B 1.38


No. 9
DFT (GGA-PBE) results for a geometry-optimized Sr2GeSe2 structure.

Results
Size of the total moment ... 0.00 μB per cell
Raw total energy ... -18.746 eV per cell
Uncorrected formation energy ... -3.80 eV/f.u.
DOS at the Fermi energy ... 0.3756 states/eV/atom
ΔE to the lowest computed polymorph ... 207 meV per atom

Unit cell a=4.0277 b=4.0277 c=9.3575 alpha=77.57 beta=77.57 gamma=90.00
With the nearest neighbours (Å) after each atom.
Atoms (fractional coordinates):
1 Ge 0.0000 0.0000 0.0000  8 Sr 3.46
2 Sr 0.3899 0.3899 0.2202  4 Se 3.21, 4 Ge 3.46
3 Se 0.2500 0.7500 0.5000  4 Se 2.85
4 Se 0.7500 0.2500 0.5000  4 Se 2.85
5 Sr 0.6101 0.6101 0.7798  4 Se 3.21, 4 Ge 3.46


No. 10
DFT (GGA-PBE) results for a geometry-optimized Tb3Sm3Sc2 structure.

Results
Size of the total moment ... 0.00 μB per cell
Raw total energy ... -40.397 eV per cell
DOS at the Fermi energy ... 1.5108 states/eV/atom
ΔE to the lowest computed polymorph ... 0 meV per atom

Unit cell a=4.9858 b=4.9645 c=9.8737 alpha=90.00 beta=90.00 gamma=90.00
With the nearest neighbours (Å) after each atom.
Atoms (fractional coordinates):
1 Sm 0.5000 0.0000 0.5000  4 Tb 3.51, 4 Sc 3.52, 4 Sm 3.52
2 Tb 0.5000 0.5000 0.2490  2 Tb 3.49, 6 Sm 3.50-3.52, 4 Sc 3.52
3 Sc 0.0000 0.0000 0.7511  6 Sm 3.49-3.52, 6 Tb 3.50-3.52
4 Sc 0.0000 0.0000 0.2489  6 Sm 3.49-3.52, 6 Tb 3.50-3.52
5 Sm 0.0000 0.5000 0.0000  4 Sc 3.49, 8 Tb 3.50-3.52
6 Sm 0.0000 0.5000 0.5000  4 Sc 3.51, 4 Tb 3.52, 4 Sm 3.52
7 Tb 0.5000 0.0000 0.0000  4 Tb 3.49, 4 Sc 3.50, 4 Sm 3.52
8 Tb 0.5000 0.5000 0.7510  2 Tb 3.49, 6 Sm 3.50-3.52, 4 Sc 3.52


No. 11
DFT (GGA-PBE) results for a geometry-optimized La2Ge5Ir3 structure.

Results
Size of the total moment ... 0.00 μB per cell
Raw total energy ... -134.615 eV per cell
DOS at the Fermi energy ... 0.4788 states/eV/atom

Unit cell a=8.5440 b=8.5440 c=8.5440 alpha=137.84 beta=105.47 gamma=89.54
With the nearest neighbours (Å) after each atom.
Atoms (fractional coordinates):
1 La 0.3622 0.6320 0.7302  10 Ge 3.06-3.39, 3 Ir 3.21-3.31
2 Ge 0.2731 0.0231 0.7500  3 Ir 2.50-2.75, 2 Ge 2.71
3 Ge 0.7269 0.4769 0.7500  3 Ir 2.50-2.75, 2 Ge 2.71
4 Ir 0.2512 0.1404 0.1109  5 Ge 2.45-2.56
5 Ge 0.2731 0.5231 0.2500  3 Ir 2.50-2.75, 2 Ge 2.71
6 La 0.6378 0.3680 0.2698  10 Ge 3.06-3.39, 3 Ir 3.21-3.31
7 Ge 0.2414 0.3985 0.8428  3 Ir 2.45-2.55, 2 Ge 2.71
8 Ir 0.9705 0.3596 0.6109  5 Ge 2.45-2.56
9 La 0.9018 0.1320 0.7698  10 Ge 3.06-3.39, 3 Ir 3.21-3.31
10 Ir 0.5000 0.7500 0.2500  6 Ge 2.55-2.75
11 Ge 0.7586 0.6015 0.1572  3 Ir 2.45-2.55, 2 Ge 2.71
12 Ir 0.5000 0.2500 0.7500  6 Ge 2.55-2.75
13 Ge 0.5557 0.8985 0.6572  3 Ir 2.45-2.55, 2 Ge 2.71
14 Ir 0.0295 0.6404 0.3891  5 Ge 2.45-2.56
15 Ge 0.0000 0.2500 0.2500  4 Ir 2.56
16 Ir 0.7488 0.8596 0.8891  5 Ge 2.45-2.56
17 Ge 0.0000 0.7500 0.7500  4 Ir 2.56
18 Ge 0.7269 0.9769 0.2500  3 Ir 2.50-2.75, 2 Ge 2.71
19 Ge 0.4443 0.1015 0.3428  3 Ir 2.45-2.55, 2 Ge 2.71
20 La 0.0982 0.8680 0.2302  10 Ge 3.06-3.39, 3 Ir 3.21-3.31


No. 12
DFT (GGA-PBE) results for a geometry-optimized PC structure.

Results
Size of the total moment ... 0.00 μB per cell
Raw total energy ... -24.961 eV per cell
DOS at the Fermi energy ... 0.1891 states/eV/atom
ΔE to the lowest computed polymorph ... 764 meV per atom

Unit cell a=5.1516 b=6.5172 c=2.8446 alpha=77.39 beta=73.97 gamma=24.89
With the nearest neighbours (Å) after each atom.
Atoms (fractional coordinates):
1 P 0.5484 0.4199 0.5158  5 C 1.91-2.07
2 C 0.9709 0.9616 0.0338  5 P 1.91-2.07
3 P 0.3682 0.1635 0.2342  5 C 1.91-2.07
4 C 0.9458 0.6217 0.7162  5 P 1.91-2.07